A relaxed HgGeCl2 crystal. Source: Alexandria via LeMat-Bulk, functional GGA-PBEsol.

The structure in extended XYZ format:
```
4
Lattice="0.0000 3.5152 3.5152 3.5152 0.0000 3.5152 3.5152 3.5152 0.0000" Properties=species:S:1:pos:R:3 pbc="T T T"
Hg 0.0000 0.0000 0.0000
Ge 3.5152 3.5152 3.5152
Cl 1.7576 1.7576 1.7576
Cl 5.2728 5.2728 5.2728
```

## Properties
DFT total energy ... -0.1844 Ry/atom
M_tot ... 0.0 μB/f.u.
Fermi-level density of states ... 1.42 states/eV/cell

***

A relaxed InGeI2Cl crystal. Source: Alexandria via LeMat-Bulk, functional GGA-PBEsol.

The structure in extended XYZ format:
```
5
Lattice="5.6294 0.0000 0.0000 0.0000 5.6294 0.0000 0.0000 0.0000 5.5671" Properties=species:S:1:pos:R:3 pbc="T T T"
In 0.0000 0.0000 0.0000
Ge 2.8147 2.8147 0.0000
I 0.0000 2.8147 2.7836
I 2.8147 0.0000 2.7836
Cl 0.0000 0.0000 2.7836
```

## Properties
DFT total energy ... -0.1575 Ry/atom
M_tot ... 1.3 μB/f.u.
Fermi-level density of states ... 3.18 states/eV/cell

***

A relaxed GeTe2ICl crystal. Source: Alexandria via LeMat-Bulk, functional GGA-PBEsol.

The structure in extended XYZ format:
```
5
Lattice="5.2986 0.0000 0.0000 0.0000 5.2986 0.0000 0.0000 0.0000 5.4888" Properties=species:S:1:pos:R:3 pbc="T T T"
Ge 0.0000 0.0000 0.0000
Te 0.0000 2.6493 2.7444
Te 2.6493 0.0000 2.7444
I 2.6493 2.6493 0.0000
Cl 2.6493 2.6493 2.7444
```

## Properties
DFT total energy ... -0.1782 Ry/atom
M_tot ... 0.0 μB/f.u.
Fermi-level density of states ... 3.60 states/eV/cell

***

A relaxed NbInGeCl2 crystal. Source: Alexandria via LeMat-Bulk, functional GGA-PBEsol.

The structure in extended XYZ format:
```
5
Lattice="4.8096 0.0000 0.0000 0.0000 4.8096 0.0000 0.0000 0.0000 5.9489" Properties=species:S:1:pos:R:3 pbc="T T T"
Nb 0.0000 0.0000 0.0000
In 0.0000 0.0000 2.9745
Ge 2.4048 2.4048 0.0000
Cl 0.0000 2.4048 2.9745
Cl 2.4048 0.0000 2.9745
```

## Properties
DFT total energy ... -0.2712 Ry/atom
M_tot ... 2.1 μB/f.u.
Fermi-level density of states ... 4.97 states/eV/cell

***

A relaxed InGeWCl2 crystal. Source: Alexandria via LeMat-Bulk, functional GGA-PBEsol.

The structure in extended XYZ format:
```
5
Lattice="4.8507 0.0000 0.0000 0.0000 4.8507 0.0000 0.0000 0.0000 5.7548" Properties=species:S:1:pos:R:3 pbc="T T T"
In 0.0000 0.0000 0.0000
Ge 2.4253 2.4253 2.8774
W 0.0000 0.0000 2.8774
Cl 0.0000 2.4253 0.0000
Cl 2.4253 0.0000 0.0000
```

## Properties
DFT total energy ... -0.2864 Ry/atom
M_tot ... 3.2 μB/f.u.
Fermi-level density of states ... 3.87 states/eV/cell

***

A relaxed GeIrCl3 crystal. Source: Alexandria via LeMat-Bulk, functional GGA-PBEsol.

The structure in extended XYZ format:
```
5
Lattice="4.8904 0.0000 0.0000 0.0000 4.8904 0.0000 0.0000 0.0000 4.8904" Properties=species:S:1:pos:R:3 pbc="T T T"
Ge 0.0000 0.0000 0.0000
Ir 2.4452 2.4452 2.4452
Cl 0.0000 0.0000 2.4452
Cl 0.0000 2.4452 0.0000
Cl 2.4452 0.0000 0.0000
```

## Properties
DFT total energy ... -0.2416 Ry/atom
M_tot ... 2.5 μB/f.u.
Fermi-level density of states ... 6.96 states/eV/cell